Here is Ac8Te4As3H after structural relaxation from Alexandria. Energies are from PBE.

Calculated values
For the calculated volume, the calculation gives 551.7 Å³/cell. Its raw total energy is -5.25 eV per atom.

Unit cell a=9.313 b=9.313 c=9.313 alpha=58.51 beta=58.51 gamma=58.51
Fractional coordinates of all 16 atoms:
Ac  0.239  0.743  0.743
Ac  0.241  0.241  0.241
Ac  0.257  0.257  0.761
Ac  0.257  0.761  0.257
Ac  0.743  0.239  0.743
Ac  0.743  0.743  0.239
Ac  0.759  0.759  0.759
Ac  0.761  0.257  0.257
Te  0.000  0.000  0.000
Te  0.000  0.500  0.500
Te  0.500  0.000  0.500
Te  0.500  0.500  0.000
As  0.000  0.000  0.500
As  0.000  0.500  0.000
As  0.500  0.000  0.000
H  0.500  0.500  0.500